# 1
Li3SiN | the Alexandria database | PBE-GGA | optimized geometry; V = 24.07 A^3/atom; energy above the most stable polymorph in this dataset = 1005 meV/atom; symmetry = Pm-3m (221); total energy = -0.206 Ry per atom; D(E_F) = 0.28 states/eV per atom; E_form (uncorrected) = 1.09 eV per atom
1.0
4.9370 0.0000 0.0000
0.0000 4.9370 0.0000
0.0000 0.0000 4.9370
Li Si N
3 1 1
Direct
0.0000 0.0000 0.5000
0.0000 0.5000 0.0000
0.5000 0.0000 0.0000
0.0000 0.0000 0.0000
0.5000 0.5000 0.5000

---

# 2
SrLi2Si2N4 | the Alexandria database | PBE-GGA | optimized geometry; V = 11.64 A^3/atom; symmetry = Pa-3 (205); total energy = -0.484 Ry per atom; D(E_F) = 0.00 states/eV per atom; E_form (uncorrected) = -1.07 eV per atom
1.0
10.7924 0.0000 0.0000
0.0000 10.7924 0.0000
0.0000 0.0000 10.7924
Sr Li Si N
12 24 24 48
Direct
0.0000 0.0000 0.0000
0.0000 0.5000 0.5000
0.2167 0.7167 0.7833
0.2167 0.7833 0.2833
0.2833 0.2167 0.7833
0.2833 0.2833 0.2833
0.5000 0.0000 0.5000
0.5000 0.5000 0.0000
0.7167 0.7167 0.7167
0.7167 0.7833 0.2167
0.7833 0.2167 0.7167
0.7833 0.2833 0.2167
0.0283 0.1077 0.7297
0.0283 0.3923 0.2297
0.1077 0.7297 0.0283
0.1077 0.7703 0.5283
0.2297 0.0283 0.3923
0.2297 0.4717 0.8923
0.2703 0.5283 0.3923
0.2703 0.9717 0.8923
0.3923 0.2297 0.0283
0.3923 0.2703 0.5283
0.4717 0.6077 0.7297
0.4717 0.8923 0.2297
0.5283 0.1077 0.7703
0.5283 0.3923 0.2703
0.6077 0.7297 0.4717
0.6077 0.7703 0.9717
0.7297 0.0283 0.1077
0.7297 0.4717 0.6077
0.7703 0.5283 0.1077
0.7703 0.9717 0.6077
0.8923 0.2297 0.4717
0.8923 0.2703 0.9717
0.9717 0.6077 0.7703
0.9717 0.8923 0.2703
0.0211 0.1302 0.2565
0.0211 0.3698 0.7565
0.1302 0.2435 0.5211
0.1302 0.2565 0.0211
0.2435 0.5211 0.1302
0.2435 0.9789 0.6302
0.2565 0.0211 0.1302
0.2565 0.4789 0.6302
0.3698 0.7435 0.5211
0.3698 0.7565 0.0211
0.4789 0.6302 0.2565
0.4789 0.8698 0.7565
0.5211 0.1302 0.2435
0.5211 0.3698 0.7435
0.6302 0.2435 0.9789
0.6302 0.2565 0.4789
0.7435 0.5211 0.3698
0.7435 0.9789 0.8698
0.7565 0.0211 0.3698
0.7565 0.4789 0.8698
0.8698 0.7435 0.9789
0.8698 0.7565 0.4789
0.9789 0.6302 0.2435
0.9789 0.8698 0.7435
0.0086 0.2282 0.1246
0.0086 0.2718 0.6246
0.0599 0.2318 0.3753
0.0599 0.2682 0.8753
0.1246 0.0086 0.2282
0.1246 0.4914 0.7282
0.1247 0.5599 0.2318
0.1247 0.9401 0.7318
0.2282 0.1246 0.0086
0.2282 0.3754 0.5086
0.2318 0.1247 0.5599
0.2318 0.3753 0.0599
0.2682 0.6247 0.5599
0.2682 0.8753 0.0599
0.2718 0.6246 0.0086
0.2718 0.8754 0.5086
0.3753 0.0599 0.2318
0.3753 0.4401 0.7318
0.3754 0.5086 0.2282
0.3754 0.9914 0.7282
0.4401 0.7318 0.3753
0.4401 0.7682 0.8753
0.4914 0.7282 0.1246
0.4914 0.7718 0.6246
0.5086 0.2282 0.3754
0.5086 0.2718 0.8754
0.5599 0.2318 0.1247
0.5599 0.2682 0.6247
0.6246 0.0086 0.2718
0.6246 0.4914 0.7718
0.6247 0.5599 0.2682
0.6247 0.9401 0.7682
0.7282 0.1246 0.4914
0.7282 0.3754 0.9914
0.7318 0.1247 0.9401
0.7318 0.3753 0.4401
0.7682 0.6247 0.9401
0.7682 0.8753 0.4401
0.7718 0.6246 0.4914
0.7718 0.8754 0.9914
0.8753 0.0599 0.2682
0.8753 0.4401 0.7682
0.8754 0.5086 0.2718
0.8754 0.9914 0.7718
0.9401 0.7318 0.1247
0.9401 0.7682 0.6247
0.9914 0.7282 0.3754
0.9914 0.7718 0.8754

---

# 3
SrLiSiN2 | the Alexandria database | PBE-GGA | optimized geometry; V = 15.80 A^3/atom; symmetry = Cmme (67); total energy = -0.417 Ry per atom; D(E_F) = 0.32 states/eV per atom; E_form (uncorrected) = -0.54 eV per atom
1.0
2.3872 -5.6178 0.0000
2.3872 5.6178 0.0000
0.0000 0.0000 5.8896
Sr Li Si N
2 2 2 4
Direct
0.2500 0.7500 0.7868
0.7500 0.2500 0.2132
0.0000 0.0000 0.5000
0.5000 0.5000 0.5000
0.2500 0.2500 0.0000
0.7500 0.7500 0.0000
0.0877 0.9123 0.1479
0.4123 0.5877 0.1479
0.5877 0.4123 0.8521
0.9123 0.0877 0.8521

---

# 4
LiSiTc2N | the Alexandria database | PBE-GGA | optimized geometry; V = 15.33 A^3/atom; energy above the most stable polymorph in this dataset = 0 meV/atom; symmetry = P4/mmm (123); total energy = -0.447 Ry per atom; D(E_F) = 1.06 states/eV per atom; E_form (uncorrected) = 1.20 eV per atom
1.0
4.7329 0.0000 0.0000
0.0000 4.7329 0.0000
0.0000 0.0000 3.4213
Li Si Tc N
1 1 2 1
Direct
0.0000 0.0000 0.0000
0.5000 0.5000 0.5000
0.0000 0.5000 0.5000
0.5000 0.0000 0.5000
0.5000 0.5000 0.0000

---

# 5
Li2SiTcN4 | the Alexandria database | PBE-GGA | optimized geometry; V = 11.54 A^3/atom; symmetry = I-4 (82); total energy = -0.523 Ry per atom; D(E_F) = 0.25 states/eV per atom; E_form (uncorrected) = -0.50 eV per atom
1.0
4.6818 0.0000 0.0000
0.0000 4.6818 0.0000
0.0000 0.0000 8.4259
Li Si Tc N
4 2 2 8
Direct
0.0000 0.0000 0.0000
0.0000 0.5000 0.2500
0.5000 0.0000 0.7500
0.5000 0.5000 0.5000
0.0000 0.0000 0.5000
0.5000 0.5000 0.0000
0.0000 0.5000 0.7500
0.5000 0.0000 0.2500
0.1902 0.7584 0.6193
0.2416 0.1902 0.3807
0.2584 0.3098 0.8807
0.3098 0.7416 0.1193
0.6902 0.2584 0.1193
0.7416 0.6902 0.8807
0.7584 0.8098 0.3807
0.8098 0.2416 0.6193

---

# 6
LiSiTc2N | the Alexandria database | PBE-GGA | optimized geometry; V = 12.91 A^3/atom; energy above the most stable polymorph in this dataset = 722 meV/atom; symmetry = P4/mmm (123); total energy = -0.394 Ry per atom; D(E_F) = 0.92 states/eV per atom; E_form (uncorrected) = 1.92 eV per atom
1.0
4.1604 0.0000 0.0000
0.0000 4.1604 0.0000
0.0000 0.0000 3.7299
Li Si Tc N
1 1 2 1
Direct
0.0000 0.0000 0.0000
0.0000 0.0000 0.5000
0.0000 0.5000 0.0000
0.5000 0.0000 0.0000
0.5000 0.5000 0.5000

---

# 7
LiSiTeN2 | the Alexandria database | PBE-GGA | optimized geometry; V = 15.37 A^3/atom; energy above the most stable polymorph in this dataset = 0 meV/atom; symmetry = P4/mmm (123); total energy = -0.369 Ry per atom; D(E_F) = 0.63 states/eV per atom; E_form (uncorrected) = 0.41 eV per atom
1.0
3.5429 0.0000 0.0000
0.0000 3.5429 0.0000
0.0000 0.0000 6.1214
Li Si Te N
1 1 1 2
Direct
0.0000 0.0000 0.0000
0.5000 0.5000 0.5000
0.5000 0.5000 0.0000
0.0000 0.5000 0.5000
0.5000 0.0000 0.5000

---

# 8
LiSiTeN2 | the Alexandria database | PBE-GGA | optimized geometry; V = 14.61 A^3/atom; energy above the most stable polymorph in this dataset = 1320 meV/atom; symmetry = P4/mmm (123); total energy = -0.272 Ry per atom; D(E_F) = 0.54 states/eV per atom; E_form (uncorrected) = 1.73 eV per atom
1.0
3.8315 0.0000 0.0000
0.0000 3.8315 0.0000
0.0000 0.0000 4.9769
Li Si Te N
1 1 1 2
Direct
0.0000 0.0000 0.0000
0.5000 0.5000 0.5000
0.0000 0.0000 0.5000
0.0000 0.5000 0.0000
0.5000 0.0000 0.0000